(1)
# PBE-GGA CaAc6Y2, relaxed
data_CaAc6Y2
_cell_length_a 6.7182
_cell_length_b 6.7182
_cell_length_c 11.5908
_cell_angle_alpha 90.00
_cell_angle_beta 90.00
_cell_angle_gamma 120.00
_space_group_name_H-M_alt 'P -3 1 m'
_space_group_IT_number 162
_space_group_name_Hall '-P 3 2'
loop_
_atom_site_label
_atom_site_type_symbol
_atom_site_fract_x
_atom_site_fract_y
_atom_site_fract_z
Ca1 Ca 0.0000 0.0000 0.0000
Ac1 Ac 0.0000 0.3336 0.2567
Y1 Y 0.3333 0.6667 0.5000
# Crystal system = trigonal
# Total DFT energy (no corrections) = -35.2 eV/cell
# Formation energy from the elements = 425 kJ/mol of formula units

=====

(2)
# PBE-GGA YBeAsBr2, relaxed
data_YBeAsBr2
_cell_length_a 5.465
_cell_length_b 5.465
_cell_length_c 5.829
_cell_angle_alpha 90.00
_cell_angle_beta 90.00
_cell_angle_gamma 90.00
_space_group_name_H-M_alt 'P 4/m m m'
_space_group_IT_number 123
_space_group_name_Hall '-P 4 2'
loop_
_atom_site_label
_atom_site_type_symbol
_atom_site_fract_x
_atom_site_fract_y
_atom_site_fract_z
Y1 Y 0.000 0.000 0.000
Be1 Be 0.500 0.500 0.500
As1 As 0.000 0.000 0.500
Br1 Br 0.000 0.500 0.000
# ΔE_f (raw) = -48.3 meV/atom
# Crystal system = tetragonal
# Total DFT energy (no corrections) = -18.4 eV/cell

=====

Result set for DOS(E_F): 13.17, 3.85 states/eV per cell, one per record in the order listed.